1.
Density functional theory data (PBE) for a geometry-optimized Ce2MgSb3Rh4 structure.

Properties
* space group: P-4m2 (115)
* N(E_F): 13.3 states/eV/cell
* E_form (uncorrected): -0.774 eV/atom
* magnetic moment: 1.330 μB per cell

Unit cell a=4.265 b=4.265 c=11.475 alpha=90.00 beta=90.00 gamma=90.00
Sites, in units of the cell vectors:
1 Ce 0.000 0.500 0.246
2 Ce 0.500 0.000 0.754
3 Mg 0.500 0.500 0.000
4 Sb 0.000 0.000 0.000
5 Sb 0.000 0.500 0.633
6 Sb 0.500 0.000 0.367
7 Rh 0.000 0.000 0.500
8 Rh 0.000 0.500 0.856
9 Rh 0.500 0.000 0.144
10 Rh 0.500 0.500 0.500

2.
Density functional theory data (PBE) for a geometry-optimized CeMgScRh structure.

Properties
* space group: F-43m (216)
* E_form: -293 meV/atom
* N(E_F): 6.3 states/eV/cell
* magnetic moment: 0.520 μB per cell

Unit cell a=4.957 b=4.957 c=4.957 alpha=60.00 beta=60.00 gamma=60.00
Sites, in units of the cell vectors:
1 Ce 0.000 0.000 0.000
2 Mg 0.250 0.250 0.250
3 Sc 0.500 0.500 0.500
4 Rh 0.750 0.750 0.750